Record 1
LiAlAg2, relaxed, DFT PBEsol; calculated formation energy = -0.191 eV per atom
1.0
3.1294 0.0000 0.0000
0.0000 3.1294 0.0000
0.0000 0.0000 6.2188
Li Al Ag
1 1 2
direct
0.0000 0.0000 0.0000
0.0000 0.0000 0.5000
0.5000 0.5000 0.2469
0.5000 0.5000 0.7531

=====

Record 2
KFeSbI2, relaxed, DFT PBEsol; uncorrected formation energy = 1.17 eV per atom
1.0
6.2629 0.0000 0.0000
0.0000 6.2629 0.0000
0.0000 0.0000 6.2717
K Fe Sb I
1 1 1 2
direct
0.0000 0.0000 0.0000
0.5000 0.5000 0.5000
0.0000 0.0000 0.5000
0.0000 0.5000 0.0000
0.5000 0.0000 0.0000

=====

Record 3
AgMo4Se, relaxed, DFT PBEsol; uncorrected formation energy = 0.70 eV per atom
1.0
0.0000 3.6915 3.6915
3.6915 0.0000 3.6915
3.6915 3.6915 0.0000
Ag Mo Se
1 4 1
direct
0.0000 0.0000 0.0000
0.1194 0.6269 0.6269
0.6269 0.1194 0.6269
0.6269 0.6269 0.1194
0.6269 0.6269 0.6269
0.2500 0.2500 0.2500

=====

Record 4
PWS2I, relaxed, DFT PBEsol; uncorrected formation energy = 0.17 eV per atom
1.0
4.5575 0.0000 0.0000
0.0000 4.5575 0.0000
0.0000 0.0000 5.0212
P W S I
1 1 2 1
direct
0.0000 0.0000 0.0000
0.0000 0.0000 0.5000
0.0000 0.5000 0.5000
0.5000 0.0000 0.5000
0.5000 0.5000 0.0000

=====

Record 5
MnCdPt2, relaxed, DFT PBEsol; calculated formation energy = -0.183 eV per atom
1.0
2.9019 0.0000 0.0000
0.0000 4.5598 0.0000
0.0000 0.0000 4.7340
Mn Cd Pt
1 1 2
direct
0.0000 0.0000 0.0000
0.0000 0.5000 0.3913
0.5000 0.0000 0.5189
0.5000 0.5000 0.8959

=====

Record 6
Ba3ZnIrRuO9, relaxed, DFT PBEsol; uncorrected formation energy = -1.81 eV per atom
1.0
5.7483 0.0000 0.0000
-2.8742 4.9782 0.0000
0.0000 0.0000 14.1173
Ba Zn Ir Ru O
6 2 2 2 18
direct
0.0000 0.0000 0.2489
0.0000 0.0000 0.7511
0.3333 0.6667 0.5862
0.3333 0.6667 0.9155
0.6667 0.3333 0.0845
0.6667 0.3333 0.4138
0.0000 0.0000 0.0000
0.0000 0.0000 0.5000
0.3333 0.6667 0.1616
0.6667 0.3333 0.8384
0.3333 0.6667 0.3418
0.6667 0.3333 0.6582
0.0199 0.5099 0.2518
0.1717 0.3435 0.0840
0.1717 0.8283 0.0840
0.1730 0.3459 0.4161
0.1730 0.8270 0.4161
0.3435 0.1717 0.9160
0.3459 0.1730 0.5839
0.4901 0.5099 0.2518
0.4901 0.9801 0.2518
0.5099 0.0199 0.7482
0.5099 0.4901 0.7482
0.6541 0.8270 0.4161
0.6565 0.8283 0.0840
0.8270 0.1730 0.5839
0.8270 0.6541 0.5839
0.8283 0.1717 0.9160
0.8283 0.6565 0.9160
0.9801 0.4901 0.7482

=====

Record 7
Cr8Ir, relaxed, DFT PBEsol; calculated formation energy = 0.028 eV per atom
1.0
-4.2778 4.2778 1.4179
4.2778 -4.2778 1.4179
4.2778 4.2778 -1.4179
Cr Ir
8 1
direct
0.0000 0.3353 0.3353
0.0000 0.6647 0.6647
0.3247 0.3247 0.6494
0.3247 0.6753 0.0000
0.3353 0.0000 0.3353
0.6647 0.0000 0.6647
0.6753 0.3247 0.0000
0.6753 0.6753 0.3506
0.0000 0.0000 0.0000

=====

Record 8
ZnPdNF2, relaxed, DFT PBEsol; uncorrected formation energy = -0.12 eV per atom
1.0
4.1936 0.0000 0.0000
0.0000 4.1936 0.0000
0.0000 0.0000 3.7503
Zn Pd N F
1 1 1 2
direct
0.0000 0.0000 0.0000
0.5000 0.5000 0.5000
0.5000 0.5000 0.0000
0.0000 0.5000 0.5000
0.5000 0.0000 0.5000

=====

Record 9
Zn24Ag5, relaxed, DFT PBEsol; calculated formation energy = 0.006 eV per atom
1.0
-4.7190 4.7190 4.7190
4.7190 -4.7190 4.7190
4.7190 4.7190 -4.7190
Zn Ag
24 5
direct
0.0000 0.1893 0.3781
0.0000 0.3781 0.1893
0.0000 0.4086 0.6814
0.0000 0.6814 0.4086
0.1893 0.0000 0.3781
0.1893 0.3781 0.0000
0.1888 0.8107 0.8107
0.2728 0.5914 0.5914
0.3186 0.3186 0.7272
0.3186 0.7272 0.3186
0.3781 0.0000 0.1893
0.3781 0.1893 0.0000
0.4086 0.0000 0.6814
0.4086 0.6814 0.0000
0.5914 0.2728 0.5914
0.5914 0.5914 0.2728
0.6219 0.6219 0.8112
0.6219 0.8112 0.6219
0.6814 0.0000 0.4086
0.6814 0.4086 0.0000
0.7272 0.3186 0.3186
0.8107 0.1888 0.8107
0.8112 0.6219 0.6219
0.8107 0.8107 0.1888
0.0000 0.0000 0.0000
0.0000 0.0000 0.6453
0.0000 0.6453 0.0000
0.3547 0.3547 0.3547
0.6453 0.0000 0.0000

=====

Record 10
Y2AlSb, relaxed, DFT PBEsol; offset from the most stable computed form = 0.0000 eV per atom; uncorrected formation energy = -0.79 eV per atom
1.0
4.0979 0.0000 0.0000
0.0000 2.1937 5.5521
0.0000 -2.1937 5.5521
Y Al Sb
2 1 1
direct
0.0000 0.0000 0.0000
0.5000 0.2797 0.2797
0.0000 0.7334 0.7334
0.5000 0.5601 0.5601

=====

Record 11
CoNiRh2, relaxed, DFT PBEsol; calculated formation energy = 0.063 eV per atom; offset from the most stable computed form = 0.0032 eV per atom
1.0
2.6086 0.0000 0.0000
0.0000 3.5355 0.0000
0.0000 0.0000 5.2096
Co Ni Rh
1 1 2
direct
0.0000 0.0000 0.0000
0.0000 0.0000 0.5000
0.5000 0.5000 0.2492
0.5000 0.5000 0.7508

=====

Record 12
NaNi2OsAu, relaxed, DFT PBEsol; calculated formation energy = 1.543 eV per atom
1.0
4.4223 0.0000 0.0000
0.0000 4.4223 0.0000
0.0000 0.0000 5.0935
Na Ni Os Au
1 2 1 1
direct
0.0000 0.0000 0.0000
0.0000 0.5000 0.5000
0.5000 0.0000 0.5000
0.0000 0.0000 0.5000
0.5000 0.5000 0.0000

=====

Copy entry 8 word for word.
ZnPdNF2, relaxed, DFT PBEsol; uncorrected formation energy = -0.12 eV per atom
1.0
4.1936 0.0000 0.0000
0.0000 4.1936 0.0000
0.0000 0.0000 3.7503
Zn Pd N F
1 1 1 2
direct
0.0000 0.0000 0.0000
0.5000 0.5000 0.5000
0.5000 0.5000 0.0000
0.0000 0.5000 0.5000
0.5000 0.0000 0.5000